<1>
An optimized crystal structure of PrAgHgPb. Source: Alexandria, functional PBE.

extended XYZ file:
```
8
Lattice="4.813 0.000 0.000 0.000 4.813 0.000 0.000 0.000 8.970" Properties=species:S:1:pos:R:3 pbc="T T T"
Pr 0.000 0.000 0.000
Pr 2.406 2.406 4.485
Ag 0.000 2.406 2.242
Ag 2.406 0.000 6.727
Hg 0.000 2.406 6.727
Hg 2.406 0.000 2.242
Pb 0.000 0.000 4.485
Pb 2.406 2.406 0.000
```

volume: 26.0 Å³ per atom
D(E_F): 0.2982 states/eV/atom
space-group type: I-4m2 (119)

<2>
An optimized crystal structure of PrAgHgPb. Source: Alexandria, functional PBE.

extended XYZ file:
```
16
Lattice="7.460 0.000 0.000 0.000 7.460 0.000 0.000 0.000 7.460" Properties=species:S:1:pos:R:3 pbc="T T T"
Pr 0.000 0.000 0.000
Pr 0.000 3.730 3.730
Pr 3.730 0.000 3.730
Pr 3.730 3.730 0.000
Ag 1.865 1.865 5.595
Ag 1.865 5.595 1.865
Ag 5.595 1.865 1.865
Ag 5.595 5.595 5.595
Hg 1.865 1.865 1.865
Hg 1.865 5.595 5.595
Hg 5.595 1.865 5.595
Hg 5.595 5.595 1.865
Pb 0.000 0.000 3.730
Pb 0.000 3.730 0.000
Pb 3.730 0.000 0.000
Pb 3.730 3.730 3.730
```

volume: 25.9 Å³ per atom
D(E_F): 0.2715 states/eV/atom
space-group type: F-43m (216)

Most stable = <1>

<1>
An optimized crystal structure of SmAgHgPb. Source: Alexandria, functional PBE.

extended XYZ file:
```
16
Lattice="7.383 0.000 0.000 0.000 7.383 0.000 0.000 0.000 7.383" Properties=species:S:1:pos:R:3 pbc="T T T"
Sm 0.000 0.000 0.000
Sm 0.000 3.691 3.691
Sm 3.691 0.000 3.691
Sm 3.691 3.691 0.000
Ag 1.846 1.846 1.846
Ag 1.846 5.537 5.537
Ag 5.537 1.846 5.537
Ag 5.537 5.537 1.846
Hg 1.846 1.846 5.537
Hg 1.846 5.537 1.846
Hg 5.537 1.846 1.846
Hg 5.537 5.537 5.537
Pb 0.000 0.000 3.691
Pb 0.000 3.691 0.000
Pb 3.691 0.000 0.000
Pb 3.691 3.691 3.691
```

volume: 25.2 Å³ per atom
D(E_F): 0.2895 states/eV/atom
space-group type: F-43m (216)

<2>
An optimized crystal structure of SmAgHgPb. Source: Alexandria, functional PBE.

extended XYZ file:
```
8
Lattice="4.723 0.000 0.000 0.000 4.723 0.000 0.000 0.000 9.010" Properties=species:S:1:pos:R:3 pbc="T T T"
Sm 0.000 0.000 0.000
Sm 2.361 2.361 4.505
Ag 0.000 2.361 2.252
Ag 2.361 0.000 6.757
Hg 0.000 2.361 6.757
Hg 2.361 0.000 2.252
Pb 0.000 0.000 4.505
Pb 2.361 2.361 0.000
```

volume: 25.1 Å³ per atom
D(E_F): 0.3662 states/eV/atom
space-group type: I-4m2 (119)

Most stable = <2>